Below is an optimized crystal structure of Li2SmCd4, with properties calculated at the PBE level.

Structure (POSCAR):
```
Li2SmCd4
1.0
5.501 0.520 2.223
-0.115 5.525 2.223
0.446 0.500 5.381
Li Cd Sm
2 4 1
Direct
0.500 0.500 0.750
0.500 0.500 0.250
0.999 0.609 0.696
0.609 0.999 0.696
0.001 0.391 0.304
0.391 0.001 0.304
0.000 0.000 0.000
```

Calculated values
formation energy = -0.287 eV per atom
uncorrected energy = -14.22 eV/cell
calculated volume = 21.81 Å³/atom
space group = Immm (71)